The following is a PBE calculation of TcIF2 after structural relaxation, from the Alexandria database.

a = 5.1456 Å, b = 5.1456 Å, c = 7.5525 Å
α = 70.08°, β = 70.08°, γ = 90.00°
Closest atoms and distances in Å follow each position.
Atoms (fractional coordinates):
I 0.0000 0.0000 0.0000  8 F 3.32, 4 Tc 3.64
I 0.7500 0.2500 0.5000  8 F 3.32, 4 Tc 3.64
Tc 0.5000 0.5000 0.0000  4 F 2.10
Tc 0.2500 0.7500 0.5000  4 F 2.10
F 0.3755 0.1250 0.2500  2 Tc 2.10
F 0.3745 0.6250 0.2500  2 Tc 2.10
F 0.3750 0.6245 0.7500  2 Tc 2.10
F 0.8750 0.6255 0.7500  2 Tc 2.10

E_tot = -4.507 eV/atom
D(E_F) = 5.9 states/eV per cell
Distance to the lowest polymorph of the same formula = 0.41 eV/f.u.